(1)
Compound: Li2NiH6Pd
Source: the Open Quantum Materials Database
Functional: PBE-GGA
Structure: optimized geometry

a b c (Å): 4.7189 4.7189 11.6262
angles (deg): 90.00 90.00 120.00
Space group R-3 (No. 148, hexagonal axes)
One atom of each set of equivalent atoms:
Li  0.0000  0.0000  0.2494
Ni  0.0000  0.0000  0.5000
H  0.0145  0.4903  0.2458
Pd  0.0000  0.0000  0.0000

E_tot: -0.13750 hartree per atom

---

(2)
Compound: LiY2NiH6
Source: the Open Quantum Materials Database
Functional: PBE-GGA
Structure: optimized geometry

a b c (Å): 7.081 7.081 7.081
angles (deg): 90.00 90.00 90.00
Space group Fm-3m (No. 225)
One atom of each set of equivalent atoms:
Li  0.000  0.000  0.000
Y  0.250  0.250  0.250
Ni  0.000  0.000  0.500
H  0.000  0.000  0.261

E_tot: -0.16430 hartree per atom

---

(3)
Compound: LiZnPH2O5
Source: the Open Quantum Materials Database
Functional: PBE-GGA
Structure: optimized geometry

a b c (Å): 10.573 7.913 4.905
angles (deg): 90.00 90.00 90.00
Space group Pna2_1 (No. 33)
One atom of each set of equivalent atoms:
Li  0.177  0.180  0.000
Zn  0.120  0.378  0.501
P  0.168  0.593  0.999
H  0.003  0.985  0.611
H  0.052  0.822  0.466
O  0.008  0.084  0.944
O  0.050  0.693  0.914
O  0.160  0.409  0.886
O  0.180  0.583  0.315
O  0.214  0.180  0.379

Relative energy among the computed polymorphs: 2 meV/atom
E_tot: -0.21311 hartree per atom

---

(4)
Compound: LiZnPH2O5
Source: the Open Quantum Materials Database
Functional: PBE-GGA
Structure: optimized geometry

a b c (Å): 16.339 4.942 9.907
angles (deg): 90.00 90.00 90.00
Space group Pca2_1 (No. 29)
One atom of each set of equivalent atoms:
Li  0.007  0.032  0.000
Li  0.245  0.592  0.731
Zn  0.055  0.617  0.248
Zn  0.192  0.957  0.480
P  0.092  0.479  0.553
P  0.159  0.096  0.177
H  0.056  0.853  0.775
H  0.123  0.416  0.832
H  0.124  0.862  0.883
H  0.188  0.362  0.945
O  0.043  0.631  0.444
O  0.048  0.529  0.689
O  0.071  0.974  0.164
O  0.077  0.968  0.848
O  0.095  0.173  0.522
O  0.153  0.397  0.219
O  0.172  0.496  0.875
O  0.180  0.596  0.564
O  0.202  0.081  0.040
O  0.208  0.935  0.283

Relative energy among the computed polymorphs: 0 meV/atom
E_tot: -0.21319 hartree per atom

---

Question: Which of these has the highest E_tot?
Answer: Li2NiH6Pd

---

Question: The highest E_tot belongs to which entry?
Answer: Li2NiH6Pd

---

What did the second record say?
Compound: LiY2NiH6
Source: the Open Quantum Materials Database
Functional: PBE-GGA
Structure: optimized geometry

a b c (Å): 7.081 7.081 7.081
angles (deg): 90.00 90.00 90.00
Space group Fm-3m (No. 225)
One atom of each set of equivalent atoms:
Li  0.000  0.000  0.000
Y  0.250  0.250  0.250
Ni  0.000  0.000  0.500
H  0.000  0.000  0.261

E_tot: -0.16430 hartree per atom